# Ca2Sb2Te (PBE, optimized geometry)
data_Ca2Sb2Te
_cell_length_a 4.261
_cell_length_b 4.261
_cell_length_c 17.033
_cell_angle_alpha 90.00
_cell_angle_beta 90.00
_cell_angle_gamma 90.00
_symmetry_space_group_name_H-M 'I 4/m m m'
_symmetry_Int_Tables_number 139
_symmetry_space_group_name_Hall '-I 4 2'
loop_
_atom_site_label
_atom_site_type_symbol
_atom_site_fract_x
_atom_site_fract_y
_atom_site_fract_z
Ca1 Ca 0.000 0.000 0.104
Sb1 Sb 0.000 0.500 0.250
Te1 Te 0.000 0.000 0.500
# total DFT energy (no corrections): -39.88 eV per cell